[1]
Compound: Ta4BeMo
Source: Alexandria via LeMat-Bulk
Functional: GGA-PBE
Structure: optimized geometry Values from VASP.

Output
**Space-group type**: No. 216
**DOS at the Fermi energy**: 6.3 states/eV/cell
**ΔH_f (0 K)**: 395.3 kJ/mol of formula units
**Crystal system**: cubic

Structure (Quantum ESPRESSO input):
```
&SYSTEM
  ibrav = 0, nat = 6, ntyp = 3
/
ATOMIC_SPECIES
Be 9.01 Be.upf
Ta 180.95 Ta.upf
Mo 95.94 Mo.upf
CELL_PARAMETERS angstrom
0.000 3.791 3.791
3.791 0.000 3.791
3.791 3.791 0.000
ATOMIC_POSITIONS angstrom
Be 5.687 5.687 5.687
Ta 2.836 2.836 2.836
Mo 0.000 0.000 0.000
Ta 2.836 4.747 4.747
Ta 4.747 2.836 4.747
Ta 4.747 4.747 2.836
```

[2]
Compound: Li4Hg3As
Source: Alexandria via LeMat-Bulk
Functional: GGA-PBE
Structure: optimized geometry Values from VASP.

Output
**Space-group type**: No. 12
**DOS at the Fermi energy**: 0.8 states/eV/cell
**ΔH_f (0 K)**: -324.2 kJ/mol of formula units
**Crystal system**: monoclinic

Structure (Quantum ESPRESSO input):
```
&SYSTEM
  ibrav = 0, nat = 8, ntyp = 3
/
ATOMIC_SPECIES
Hg 200.59 Hg.upf
Li 6.94 Li.upf
As 74.92 As.upf
CELL_PARAMETERS angstrom
4.623 0.001 -1.255
-0.331 4.616 -1.238
-0.555 -0.624 7.173
ATOMIC_POSITIONS angstrom
Hg 3.102 0.838 2.300
Li 1.220 1.291 4.552
Li 2.518 2.702 0.129
Hg -0.166 2.308 -0.619
Li 3.366 3.600 3.305
Hg 0.635 3.155 2.380
Li 0.371 0.394 1.375
As 2.312 0.001 -0.628
```

[3]
Compound: BeCoTc2
Source: Alexandria via LeMat-Bulk
Functional: GGA-PBE
Structure: optimized geometry Values from VASP.

Output
**Space-group type**: No. 6
**DOS at the Fermi energy**: 4.2 states/eV/cell
**Excess energy over the best structure of this formula in the dataset**: 0.131 eV/f.u.
**ΔH_f (0 K)**: -11.2 kJ/mol of formula units
**Crystal system**: monoclinic

Structure (Quantum ESPRESSO input):
```
&SYSTEM
  ibrav = 0, nat = 4, ntyp = 3
/
ATOMIC_SPECIES
Co 58.93 Co.upf
Tc 98.00 Tc.upf
Be 9.01 Be.upf
CELL_PARAMETERS angstrom
3.868 0.000 0.000
0.000 2.661 0.003
0.000 1.341 4.658
ATOMIC_POSITIONS angstrom
Co 1.934 2.499 3.457
Tc 1.934 1.176 1.330
Tc 0.000 3.830 4.543
Be 0.000 2.502 2.323
```

[4]
Compound: Ac3Ge2BiAu6
Source: Alexandria via LeMat-Bulk
Functional: GGA-PBE
Structure: optimized geometry Values from VASP.

Output
**Space-group type**: No. 164
**DOS at the Fermi energy**: 6.8 states/eV/cell
**ΔH_f (0 K)**: -545.0 kJ/mol of formula units
**Crystal system**: trigonal

Structure (Quantum ESPRESSO input):
```
&SYSTEM
  ibrav = 0, nat = 12, ntyp = 4
/
ATOMIC_SPECIES
Au 196.97 Au.upf
Ac 227.00 Ac.upf
Bi 208.98 Bi.upf
Ge 72.64 Ge.upf
CELL_PARAMETERS angstrom
-1.398 -0.726 -6.450
6.261 -0.599 2.128
-1.216 -8.414 1.211
ATOMIC_POSITIONS angstrom
Au -0.241 -6.515 -1.124
Au 4.505 -2.904 0.859
Ac 0.732 -3.611 -3.170
Au 1.905 -7.099 -3.031
Ac 2.915 -6.128 0.058
Bi -0.608 -4.207 0.605
Ac 0.000 0.000 0.000
Au -0.858 -6.835 -3.970
Ge -0.014 -8.775 -2.426
Au 3.888 -3.224 -1.987
Au 1.742 -2.640 -0.080
Ge 3.661 -0.964 -0.685
```

[5]
Compound: Be2BS
Source: Alexandria via LeMat-Bulk
Functional: GGA-PBE
Structure: optimized geometry Values from VASP.

Output
**Space-group type**: No. 1
**DOS at the Fermi energy**: 0.9 states/eV/cell
**Excess energy over the best structure of this formula in the dataset**: 0.189 eV/f.u.
**Crystal system**: triclinic

Structure (Quantum ESPRESSO input):
```
&SYSTEM
  ibrav = 0, nat = 8, ntyp = 3
/
ATOMIC_SPECIES
B 10.81 B.upf
S 32.06 S.upf
Be 9.01 Be.upf
CELL_PARAMETERS angstrom
3.450 -0.002 -0.004
-1.723 3.138 0.004
-1.011 -1.188 9.535
ATOMIC_POSITIONS angstrom
B -1.128 -0.213 8.516
S 0.266 1.528 5.712
Be -2.041 1.339 9.198
S -1.515 2.714 1.787
Be 0.263 -0.520 6.294
B 0.597 -0.274 8.514
Be -0.212 1.338 7.836
Be 1.933 0.665 1.198
```

[6]
Compound: PmCu2Rh
Source: Alexandria via LeMat-Bulk
Functional: GGA-PBE
Structure: optimized geometry Values from VASP.

Output
**Space-group type**: No. 11
**DOS at the Fermi energy**: 4.0 states/eV/cell
**Excess energy over the best structure of this formula in the dataset**: 0.086 eV/f.u.
**ΔH_f (0 K)**: -86.5 kJ/mol of formula units
**Crystal system**: monoclinic

Structure (Quantum ESPRESSO input):
```
&SYSTEM
  ibrav = 0, nat = 8, ntyp = 3
/
ATOMIC_SPECIES
Cu 63.55 Cu.upf
Pm 145.00 Pm.upf
Rh 102.91 Rh.upf
CELL_PARAMETERS angstrom
-0.138 -4.221 0.288
2.083 1.745 -4.520
6.686 -0.009 3.077
ATOMIC_POSITIONS angstrom
Cu 7.077 -2.300 0.815
Pm 1.802 -2.143 0.479
Rh 5.627 -0.119 0.977
Rh 3.004 -2.366 -2.132
Cu 1.554 -0.185 -1.970
Cu 4.802 -2.297 -0.232
Cu 3.828 -0.188 -0.923
Pm 6.828 -0.342 -1.634
```

[7]
Compound: BeIrRh
Source: Alexandria via LeMat-Bulk
Functional: GGA-PBE
Structure: optimized geometry Values from VASP.

Output
**Space-group type**: No. 42
**DOS at the Fermi energy**: 3.2 states/eV/cell
**Excess energy over the best structure of this formula in the dataset**: 0.748 eV/f.u.
**ΔH_f (0 K)**: -27.0 kJ/mol of formula units
**Crystal system**: orthorhombic

Structure (Quantum ESPRESSO input):
```
&SYSTEM
  ibrav = 0, nat = 3, ntyp = 3
/
ATOMIC_SPECIES
Be 9.01 Be.upf
Ir 192.22 Ir.upf
Rh 102.91 Rh.upf
CELL_PARAMETERS angstrom
6.428 -0.008 0.005
5.612 2.546 0.013
0.816 -1.054 2.326
ATOMIC_POSITIONS angstrom
Be 0.825 -1.051 2.324
Ir 4.730 0.198 1.521
Rh 8.117 1.283 0.825
```

[8]
Compound: La3Tb2DyEr6
Source: Alexandria via LeMat-Bulk
Functional: GGA-PBE
Structure: optimized geometry Values from VASP.

Output
**Space-group type**: No. 12
**DOS at the Fermi energy**: 15.6 states/eV/cell
**ΔH_f (0 K)**: 26.1 kJ/mol of formula units
**Crystal system**: monoclinic

Structure (Quantum ESPRESSO input):
```
&SYSTEM
  ibrav = 0, nat = 12, ntyp = 4
/
ATOMIC_SPECIES
La 138.91 La.upf
Er 167.26 Er.upf
Dy 162.50 Dy.upf
Tb 158.93 Tb.upf
CELL_PARAMETERS angstrom
6.210 -0.001 0.002
-3.104 5.379 0.002
-1.038 -1.798 11.600
ATOMIC_POSITIONS angstrom
La -2.070 3.583 5.803
La 4.138 -0.003 5.803
Er -1.036 1.790 2.841
Dy 0.000 0.000 0.000
Er 2.068 -0.002 2.841
Tb 3.105 1.793 0.002
Tb 0.001 3.585 0.002
Er 3.103 1.790 8.765
La 1.034 1.790 5.803
Er -0.001 3.583 8.765
Er 2.070 3.584 2.843
Er -0.002 -0.003 8.762
```

[9]
Compound: PaFe2Ge4
Source: Alexandria via LeMat-Bulk
Functional: GGA-PBE
Structure: optimized geometry Values from VASP.

Output
**Space-group type**: No. 62
**DOS at the Fermi energy**: 15.0 states/eV/cell
**ΔH_f (0 K)**: -188.0 kJ/mol of formula units
**Crystal system**: orthorhombic

Structure (Quantum ESPRESSO input):
```
&SYSTEM
  ibrav = 0, nat = 28, ntyp = 3
/
ATOMIC_SPECIES
Ge 72.64 Ge.upf
Fe 55.84 Fe.upf
Pa 231.04 Pa.upf
CELL_PARAMETERS angstrom
-0.641 -1.759 3.680
6.174 0.904 1.508
-3.776 14.956 6.491
ATOMIC_POSITIONS angstrom
Ge -2.394 11.083 8.355
Ge 5.365 0.616 4.703
Ge 1.236 6.440 4.452
Ge 2.808 3.871 5.814
Ge 1.525 10.388 6.389
Fe -1.150 1.921 4.192
Fe 4.304 0.760 2.271
Fe -2.547 13.341 9.408
Ge 3.009 6.483 7.097
Pa -2.883 8.229 6.905
Ge 1.311 11.406 9.155
Ge 4.151 3.018 3.324
Ge 0.521 7.661 7.227
Pa 4.640 5.872 4.773
Fe 2.907 12.180 7.486
Ge 0.447 2.695 2.524
Pa 2.075 1.201 4.410
Pa -0.318 12.900 7.269
Ge -1.051 10.230 5.865
Ge 0.232 3.713 5.289
Ge -1.252 7.618 4.581
Ge -0.148 13.775 10.033
Fe -0.238 9.809 8.122
Ge 1.905 0.326 1.646
Fe 2.483 8.247 5.533
Ge -3.608 13.485 6.975
Fe -0.726 5.854 6.146
Fe 1.995 4.292 3.557
```

[10]
Compound: TaTc2Pd
Source: Alexandria via LeMat-Bulk
Functional: GGA-PBE
Structure: optimized geometry Values from VASP.

Output
**Space-group type**: No. 123
**DOS at the Fermi energy**: 3.0 states/eV/cell
**Excess energy over the best structure of this formula in the dataset**: 0.000 eV/f.u.
**ΔH_f (0 K)**: -61.4 kJ/mol of formula units
**Crystal system**: tetragonal

Structure (Quantum ESPRESSO input):
```
&SYSTEM
  ibrav = 0, nat = 4, ntyp = 3
/
ATOMIC_SPECIES
Tc 98.00 Tc.upf
Pd 106.42 Pd.upf
Ta 180.95 Ta.upf
CELL_PARAMETERS angstrom
4.039 0.000 0.000
0.000 3.906 0.000
0.000 0.000 3.906
ATOMIC_POSITIONS angstrom
Tc 0.000 0.000 1.953
Pd 2.019 0.000 0.000
Tc 0.000 1.953 0.000
Ta 2.019 1.953 1.953
```

Copy entry 1 word for word.
Compound: Ta4BeMo
Source: Alexandria via LeMat-Bulk
Functional: GGA-PBE
Structure: optimized geometry Values from VASP.

Output
**Space-group type**: No. 216
**DOS at the Fermi energy**: 6.3 states/eV/cell
**ΔH_f (0 K)**: 395.3 kJ/mol of formula units
**Crystal system**: cubic

Structure (Quantum ESPRESSO input):
```
&SYSTEM
  ibrav = 0, nat = 6, ntyp = 3
/
ATOMIC_SPECIES
Be 9.01 Be.upf
Ta 180.95 Ta.upf
Mo 95.94 Mo.upf
CELL_PARAMETERS angstrom
0.000 3.791 3.791
3.791 0.000 3.791
3.791 3.791 0.000
ATOMIC_POSITIONS angstrom
Be 5.687 5.687 5.687
Ta 2.836 2.836 2.836
Mo 0.000 0.000 0.000
Ta 2.836 4.747 4.747
Ta 4.747 2.836 4.747
Ta 4.747 4.747 2.836
```